Entry i
5
Lattice="5.153 0.000 0.000 0.000 5.153 0.000 0.000 0.000 5.153" Properties=species:S:1:pos:R:3 comment="WAu3F PBE with a Hubbard U relaxed" mass_density_g_cm3=9.63 pbc="T T T"
W 0.000 0.000 0.000
Au 0.000 0.000 2.577
Au 0.000 2.577 0.000
Au 2.577 0.000 0.000
F 2.577 2.577 2.577

=====

Entry ii
5
Lattice="4.604 0.000 0.000 0.000 4.604 0.000 0.000 0.000 4.604" Properties=species:S:1:pos:R:3 comment="WAu3F PBE with a Hubbard U relaxed" mass_density_g_cm3=13.50 pbc="T T T"
W 0.000 0.000 0.000
Au 0.000 2.302 2.302
Au 2.302 0.000 2.302
Au 2.302 2.302 0.000
F 2.302 2.302 2.302

=====

Of them, entry ii has the highest stability.